Material: NaPrNbO4
Method: DFT, PBE
State: optimized geometry

Values from the calculation:
* electronic total energy: -0.2821 hartree per atom
* raw formation energy: -2534 meV per atom

a b c (Å): 6.7496 6.7496 6.7496
angles (deg): 145.18 145.18 50.06
Element x y z (fractional)
Na1 0.0000 0.0000 0.0000
Pr1 0.7050 0.7050 0.0000
Nb1 0.3560 0.3560 0.0000
O1 0.1835 0.1835 0.0000
O2 0.3432 0.8432 0.5000
O3 0.5204 0.5204 0.0000
O4 0.8432 0.3432 0.5000